No. 1
# Tl2FePbBr6 | Alexandria via LeMat-Bulk | PBE | relaxed
data_Tl2FePbBr6
_chemical_formula_sum 'Tl2 Fe1 Pb1 Br6'
_cell_length_a 7.828
_cell_length_b 7.828
_cell_length_c 7.853
_cell_angle_alpha 60.10
_cell_angle_beta 60.10
_cell_angle_gamma 59.99
_symmetry_space_group_name_H-M 'P 1'
_symmetry_Int_Tables_number 1
loop_
_symmetry_equiv_pos_as_xyz
'x,y,z'
loop_
_atom_site_label
_atom_site_type_symbol
_atom_site_fract_x
_atom_site_fract_y
_atom_site_fract_z
Tl1 Tl 0.541 0.541 0.378
Tl2 Tl 0.038 0.038 0.885
Fe1 Fe 0.319 0.319 0.043
Pb1 Pb 0.818 0.818 0.547
Br1 Br 0.558 0.169 0.262
Br2 Br 0.169 0.011 0.262
Br3 Br 0.011 0.558 0.262
Br4 Br 0.472 0.634 0.792
Br5 Br 0.634 0.102 0.792
Br6 Br 0.102 0.472 0.792
# Crystal system: trigonal
# M_tot: 4.000 μB per cell
# Uncorrected formation energy: -0.701 eV/atom
# V: 34.08 Å³ per atom

No. 2
# CsTa2Pt | Alexandria via LeMat-Bulk | PBE | relaxed
data_CsTa2Pt
_chemical_formula_sum 'Cs2 Ta4 Pt2'
_cell_length_a 5.116
_cell_length_b 5.116
_cell_length_c 9.759
_cell_angle_alpha 74.80
_cell_angle_beta 74.80
_cell_angle_gamma 90.00
_symmetry_space_group_name_H-M 'P 1'
_symmetry_Int_Tables_number 1
loop_
_symmetry_equiv_pos_as_xyz
'x,y,z'
loop_
_atom_site_label
_atom_site_type_symbol
_atom_site_fract_x
_atom_site_fract_y
_atom_site_fract_z
Cs1 Cs 0.500 0.500 0.000
Cs2 Cs 0.250 0.750 0.500
Pt1 Pt 0.000 0.000 0.000
Pt2 Pt 0.750 0.250 0.500
Ta1 Ta 0.957 0.125 0.250
Ta2 Ta 0.793 0.625 0.250
Ta3 Ta 0.375 0.043 0.750
Ta4 Ta 0.875 0.207 0.750
# Crystal system: tetragonal
# Excess energy over the best structure of this formula in the dataset: 99 meV/atom
# M_tot: 0.000 μB per cell
# Energy relative to the elements: 1.29 eV per atom
# V: 29.65 Å³ per atom